## NdEr2Mg4In2 (PBE)

Data for crystalline NdEr2Mg4In2 at its relaxed geometry.

```
NdEr2Mg4In2
1.0
4.698 0.000 0.000
0.000 6.640 3.755
0.000 -6.640 3.755
Er In Mg Nd
2 2 4 1
Direct
0.000 0.566 0.004
0.000 0.004 0.566
0.500 0.674 0.334
0.500 0.334 0.674
0.500 0.242 0.000
0.500 0.000 0.242
0.500 0.755 0.755
0.000 0.991 0.991
0.000 0.433 0.433
```

Output
* ρ: 5.7 g/cm³
* final energy: -3.117 eV per atom
* crystal system: orthorhombic